! SrLa3Ag (PBE-GGA, optimized geometry); values from VASP
! energy of formation	0.19	eV per atom
! magnetic moment	2.05	μB/cell
! Fermi-level density of states	2.0471	states/eV per atom
! energy above the most stable polymorph in this dataset	0	meV/atom
&SYSTEM
  ibrav = 0, nat = 5, ntyp = 3
/
ATOMIC_SPECIES
Sr 87.62 Sr.upf
Ag 107.87 Ag.upf
La 138.91 La.upf
ATOMIC_POSITIONS crystal
Sr 0.500 0.500 0.500
Ag 0.000 0.000 0.000
La 0.000 0.500 0.000
La 0.500 0.000 0.000
La 0.000 0.000 0.500
CELL_PARAMETERS angstrom
5.993 0.000 0.000
0.000 5.993 0.000
0.000 0.000 5.993

! PmTcB2 (PBE-GGA, optimized geometry); values from VASP
! energy of formation	0.00	eV per atom
! magnetic moment	0.00	μB/cell
! Fermi-level density of states	0.3986	states/eV per atom
! energy above the most stable polymorph in this dataset	418	meV/atom
&SYSTEM
  ibrav = 0, nat = 4, ntyp = 3
/
ATOMIC_SPECIES
Pm 145.00 Pm.upf
B 10.81 B.upf
Tc 98.00 Tc.upf
ATOMIC_POSITIONS crystal
Pm 0.500 0.500 0.500
B 0.274 0.274 0.178
B 0.726 0.726 0.822
Tc 0.000 0.000 0.000
CELL_PARAMETERS angstrom
-3.318 0.202 0.798
-1.320 -2.089 2.362
-0.340 3.184 5.100

! Li3TlF (PBE-GGA, optimized geometry); values from VASP
! magnetic moment	0.00	μB/cell
! Fermi-level density of states	0.2461	states/eV per atom
! E_form (uncorrected)	-1.182	eV per atom
! energy above the most stable polymorph in this dataset	0	meV/atom
&SYSTEM
  ibrav = 0, nat = 5, ntyp = 3
/
ATOMIC_SPECIES
Li 6.94 Li.upf
Tl 204.38 Tl.upf
F 19.00 F.upf
ATOMIC_POSITIONS crystal
Li 0.500 0.000 0.000
Li 0.000 0.500 0.000
Li 0.000 0.000 0.500
Tl 0.500 0.500 0.500
F 0.000 0.000 0.000
CELL_PARAMETERS angstrom
-2.891 -0.467 -3.040
2.726 -2.320 -2.236
-1.423 -3.495 1.891

! SmYMgRu (PBE-GGA, optimized geometry); values from VASP
! energy of formation	-0.15	eV per atom
! magnetic moment	0.00	μB/cell
! Fermi-level density of states	0.9663	states/eV per atom
! energy above the most stable polymorph in this dataset	80	meV/atom
&SYSTEM
  ibrav = 0, nat = 4, ntyp = 4
/
ATOMIC_SPECIES
Y 88.91 Y.upf
Sm 150.36 Sm.upf
Mg 24.30 Mg.upf
Ru 101.07 Ru.upf
ATOMIC_POSITIONS crystal
Y 0.750 0.750 0.750
Sm 0.250 0.250 0.250
Mg 0.000 0.000 0.000
Ru 0.500 0.500 0.500
CELL_PARAMETERS angstrom
5.080 0.000 0.000
2.540 4.400 0.000
2.540 1.467 4.148

magnetic moment of number 2 (PmTcB2)? 0.00 μB/cell

Which value of Fermi-level density of states does entry 2 give? 0.3986 states/eV per atom